{"formula": "LaSm2Er2", "functional": "PBE-GGA", "state": "relaxed", "delta_e_f_kcal_per_mol_atoms": 1.8, "dos_ef_per_ev_cell": 11.7, "lattice": [[9.4614, 0.0000, 0.0000], [0.0000, 9.4614, 0.0000], [0.0000, 0.0000, 3.7950]], "species": ["La", "La", "Sm", "Sm", "Sm", "Sm", "Er", "Er", "Er", "Er"], "frac_coords": [[0.0000, 0.0000, 0.0000], [0.5000, 0.5000, 0.0000], [0.1265, 0.3735, 0.0000], [0.3735, 0.8735, 0.0000], [0.6265, 0.1265, 0.0000], [0.8735, 0.6265, 0.0000], [0.1699, 0.6699, 0.5000], [0.3301, 0.1699, 0.5000], [0.6699, 0.8301, 0.5000], [0.8301, 0.3301, 0.5000]]}